Record 1
# GGA-PBE CaMg6Ag2, optimized geometry
# ΔH_f (0 K), kcal/mol of atoms: -2.91
# Crystal system: tetragonal
# Total moment, μB/atom: 0.00
# N(E_F), states/eV per cell: 3.70
data_CaMg6Ag2
_cell_length_a 4.406
_cell_length_b 4.406
_cell_length_c 10.852
_cell_angle_alpha 90.00
_cell_angle_beta 90.00
_cell_angle_gamma 90.00
_space_group_name_H-M_alt 'P 4/m m m'
_space_group_IT_number 123
_space_group_name_Hall '-P 4 2'
loop_
_atom_site_label
_atom_site_type_symbol
_atom_site_fract_x
_atom_site_fract_y
_atom_site_fract_z
Ca1 Ca 0.000 0.000 0.000
Mg1 Mg 0.000 0.000 0.500
Mg2 Mg 0.000 0.500 0.284
Mg3 Mg 0.500 0.500 0.500
Ag1 Ag 0.500 0.500 0.126

***

Record 2
# GGA-PBE Cs4PrHo3Se8, optimized geometry
# Crystal system: trigonal
# Uncorrected formation energy, eV/atom: -1.719
# Total moment, μB/atom: 0.00
# N(E_F), states/eV per cell: 0.00
data_Cs4PrHo3Se8
_cell_length_a 8.5945
_cell_length_b 8.5945
_cell_length_c 25.1532
_cell_angle_alpha 90.00
_cell_angle_beta 90.00
_cell_angle_gamma 120.00
_space_group_name_H-M_alt 'R -3 m'
_space_group_IT_number 166
_space_group_name_Hall '-R 3 2"'
loop_
_atom_site_label
_atom_site_type_symbol
_atom_site_fract_x
_atom_site_fract_y
_atom_site_fract_z
Cs1 Cs 0.0000 0.0000 0.0000
Cs2 Cs 0.0000 0.5000 0.0000
Pr1 Pr 0.0000 0.0000 0.5000
Ho1 Ho 0.0000 0.5000 0.5000
Se1 Se 0.0000 0.0000 0.2279
Se2 Se 0.0096 0.5048 0.7709

***

Record 3
# GGA-PBE KCuBr2, optimized geometry
# Crystal system: cubic
# Uncorrected formation energy, eV/atom: -0.186
# Total moment, μB/atom: 0.00
# N(E_F), states/eV per cell: 11.09
data_KCuBr2
_cell_length_a 7.599
_cell_length_b 7.599
_cell_length_c 7.599
_cell_angle_alpha 90.00
_cell_angle_beta 90.00
_cell_angle_gamma 90.00
_space_group_name_H-M_alt 'F -4 3 m'
_space_group_IT_number 216
_space_group_name_Hall 'F -4 2 3'
loop_
_atom_site_label
_atom_site_type_symbol
_atom_site_fract_x
_atom_site_fract_y
_atom_site_fract_z
K1 K 0.000 0.000 0.000
Cu1 Cu 0.250 0.250 0.750
Br1 Br 0.000 0.000 0.500
Br2 Br 0.250 0.250 0.250

***

Record 4
# GGA-PBE Ta2FeRu, optimized geometry
# ΔH_f (0 K), kcal/mol of atoms: -1.41
# Crystal system: monoclinic
# Total moment, μB/atom: 0.51
# N(E_F), states/eV per cell: 3.95
data_Ta2FeRu
_cell_length_a 2.829
_cell_length_b 4.162
_cell_length_c 5.391
_cell_angle_alpha 90.00
_cell_angle_beta 101.88
_cell_angle_gamma 90.00
_space_group_name_H-M_alt 'P 1 2/m 1'
_space_group_IT_number 10
loop_
_space_group_symop_operation_xyz
'x,y,z'
'-x,-y,-z'
'-x,y,-z'
'x,-y,z'
loop_
_atom_site_label
_atom_site_type_symbol
_atom_site_fract_x
_atom_site_fract_y
_atom_site_fract_z
Ta1 Ta 0.244 0.000 0.253
Fe1 Fe 0.000 0.500 0.500
Ru1 Ru 0.500 0.500 0.000

***

Record 5
# GGA-PBE LiCrTc2, optimized geometry
# ΔH_f (0 K), kcal/mol of atoms: 6.22
# Crystal system: monoclinic
# Total moment, μB/atom: 0.00
# N(E_F), states/eV per cell: 6.80
data_LiCrTc2
_cell_length_a 5.301
_cell_length_b 8.325
_cell_length_c 2.550
_cell_angle_alpha 90.00
_cell_angle_beta 109.50
_cell_angle_gamma 90.00
_space_group_name_H-M_alt 'C 1 2/m 1'
_space_group_IT_number 12
loop_
_space_group_symop_operation_xyz
'x,y,z'
'-x,-y,-z'
'-x,y,-z'
'x,-y,z'
'x+1/2,y+1/2,z'
'-x+1/2,-y+1/2,-z'
'-x+1/2,y+1/2,-z'
'x+1/2,-y+1/2,z'
loop_
_atom_site_label
_atom_site_type_symbol
_atom_site_fract_x
_atom_site_fract_y
_atom_site_fract_z
Li1 Li 0.000 0.000 0.000
Cr1 Cr 0.000 0.500 0.000
Tc1 Tc 0.250 0.250 0.500